# Tm6InSn

A geometry-optimized Tm6InSn structure (PBE, Alexandria via LeMat-Bulk).

Calculated values
Energy relative to the elements: 0.03 eV/atom
DOS(E_F): 11.52 states/eV/f.u.
Total DFT energy (no corrections): -4.16 eV per atom

abc: 6.880 6.880 6.879
angles: 103.69 103.69 120.03
Fractional coordinates of all 8 atoms:
1 Tm 0.253 0.253 0.749
2 Tm 0.464 0.047 0.248
3 Tm 0.747 0.747 0.251
4 Tm 0.953 0.536 0.752
5 Tm 0.536 0.953 0.752
6 Tm 0.047 0.464 0.248
7 In 0.000 0.000 0.000
8 Sn 0.500 0.500 0.500



# CaMg14CdO16

A geometry-optimized CaMg14CdO16 structure (PBE, Alexandria via LeMat-Bulk).

Calculated values
DOS(E_F): 0.00 states/eV/f.u.
Total DFT energy (no corrections): -5.82 eV per atom
Formation energy from raw total energies: -2.552 eV per atom

abc: 4.367 8.670 8.714
angles: 90.00 90.00 90.00
Fractional coordinates of all 32 atoms:
1 Ca 0.000 0.000 0.000
2 Mg 0.000 0.500 0.000
3 Mg 0.000 0.500 0.500
4 Mg 0.500 0.000 0.251
5 Mg 0.500 0.000 0.749
6 Mg 0.500 0.500 0.250
7 Mg 0.500 0.500 0.750
8 Mg 0.500 0.256 0.000
9 Mg 0.500 0.256 0.500
10 Mg 0.500 0.744 0.000
11 Mg 0.500 0.744 0.500
12 Mg 0.000 0.256 0.251
13 Mg 0.000 0.256 0.749
14 Mg 0.000 0.744 0.251
15 Mg 0.000 0.744 0.749
16 Cd 0.000 0.000 0.500
17 O 0.000 0.265 0.000
18 O 0.000 0.268 0.500
19 O 0.000 0.735 0.000
20 O 0.000 0.732 0.500
21 O 0.500 0.250 0.251
22 O 0.500 0.250 0.749
23 O 0.500 0.750 0.251
24 O 0.500 0.750 0.749
25 O 0.500 0.000 0.000
26 O 0.500 0.000 0.500
27 O 0.500 0.500 0.000
28 O 0.500 0.500 0.500
29 O 0.000 0.000 0.249
30 O 0.000 0.000 0.751
31 O 0.000 0.500 0.250
32 O 0.000 0.500 0.750



# Ni5Br3

A geometry-optimized Ni5Br3 structure (PBE, Alexandria via LeMat-Bulk).

Calculated values
DOS(E_F): 11.99 states/eV/f.u.
Total DFT energy (no corrections): -3.69 eV per atom
Formation energy from raw total energies: 0.553 eV per atom

abc: 8.246 8.246 4.536
angles: 90.00 90.00 120.00
Each line ends with the local moment (μB).
Fractional coordinates of all 16 atoms:
1 Ni 0.333 0.667 0.000  0.73
2 Ni 0.667 0.333 0.500  0.73
3 Ni 0.667 0.333 0.000  0.73
4 Ni 0.333 0.667 0.500  0.73
5 Ni 0.172 0.000 0.250  0.61
6 Ni 0.828 0.000 0.750  0.61
7 Ni 0.000 0.172 0.250  0.61
8 Ni 0.828 0.828 0.250  0.61
9 Ni 0.172 0.172 0.750  0.61
10 Ni 0.000 0.828 0.750  0.61
11 Br 0.649 0.000 0.250  0.08
12 Br 0.351 0.000 0.750  0.08
13 Br 0.000 0.649 0.250  0.08
14 Br 0.351 0.351 0.250  0.08
15 Br 0.649 0.649 0.750  0.08
16 Br 0.000 0.351 0.750  0.08



# CuH2Pd2

A geometry-optimized CuH2Pd2 structure (PBE, Alexandria via LeMat-Bulk).

Calculated values
DOS(E_F): 0.85 states/eV/f.u.
Total DFT energy (no corrections): -4.31 eV per atom

abc: 3.039 3.039 5.771
angles: 74.73 74.73 90.00
Fractional coordinates of all 5 atoms:
1 H 0.750 0.250 0.500
2 H 0.250 0.750 0.500
3 Cu 0.000 0.000 0.000
4 Pd 0.353 0.353 0.294
5 Pd 0.647 0.647 0.706



# VZn2Pt

A geometry-optimized VZn2Pt structure (PBE, Alexandria via LeMat-Bulk).

Calculated values
Energy relative to the elements: -0.22 eV/atom
DOS(E_F): 6.49 states/eV/f.u.
Total DFT energy (no corrections): -4.65 eV per atom

abc: 4.346 4.346 4.346
angles: 60.00 60.00 60.00
Each line ends with the local moment (μB).
Fractional coordinates of all 4 atoms:
1 Zn 0.250 0.250 0.250  0.01
2 Zn 0.750 0.750 0.750  0.01
3 Pt 0.500 0.500 0.500  0.08
4 V 0.000 0.000 0.000  2.07



# TmGaAgIr

A geometry-optimized TmGaAgIr structure (PBE, Alexandria via LeMat-Bulk).

Calculated values
Energy relative to the elements: -0.42 eV/atom
DOS(E_F): 2.97 states/eV/f.u.
Total DFT energy (no corrections): -5.23 eV per atom

abc: 4.671 4.671 4.671
angles: 60.00 60.00 60.00
Fractional coordinates of all 4 atoms:
1 Ir 0.750 0.750 0.750
2 Tm 0.000 0.000 0.000
3 Ga 0.500 0.500 0.500
4 Ag 0.250 0.250 0.250